Ba2V2Te2O11 | PBE with a Hubbard U | optimized geometry

Lattice parameters (Å, degrees): 7.7876 7.6957 9.7780 85.89 90.00 90.00
Fractional positions:
Ba: 0.7500 0.3592 0.5768
Ba: 0.2500 0.6408 0.4232
Ba: 0.7500 0.6339 0.1432
Ba: 0.2500 0.3661 0.8568
V: 0.2500 0.8157 0.0078
V: 0.7500 0.1843 0.9922
V: 0.7500 0.8919 0.4208
V: 0.2500 0.1081 0.5792
Te: 0.5355 0.7845 0.7568
Te: 0.0355 0.2155 0.2432
Te: 0.4645 0.2155 0.2432
Te: 0.9645 0.7845 0.7568
O: 0.7500 0.6972 0.8514
O: 0.2500 0.3028 0.1486
O: 0.4829 0.5774 0.6785
O: 0.9829 0.4226 0.3215
O: 0.5171 0.4226 0.3215
O: 0.0171 0.5774 0.6785
O: 0.7500 0.8402 0.6066
O: 0.2500 0.1598 0.3934
O: 0.4327 0.6954 0.9448
O: 0.9327 0.3046 0.0552
O: 0.5673 0.3046 0.0552
O: 0.0673 0.6954 0.9448
O: 0.2500 0.0166 0.9291
O: 0.7500 0.9834 0.0709
O: 0.2500 0.8196 0.1790
O: 0.7500 0.1804 0.8210
O: 0.5740 0.8000 0.3535
O: 0.0740 0.2000 0.6465
O: 0.4260 0.2000 0.6465
O: 0.9260 0.8000 0.3535
O: 0.7500 0.1186 0.3803
O: 0.2500 0.8814 0.6197

Output
* calculated total energy: -6.644 eV/atom
* total moment: 0.00 Bohr magnetons per cell
* space group: No. 11